Record 1
DFT (PBE) results for a relaxed Zn2Cu8Ge crystal.

a b c (Å): 4.4536 6.6103 6.8921
angles (deg): 61.34 74.27 55.58
Fractional positions:
Zn 0.0000 0.3084 0.3832
Zn 0.0000 0.6916 0.6168
Cu 0.8182 0.1017 0.2498
Cu 0.8182 0.3516 0.7502
Cu 0.3053 0.4254 0.0000
Cu 0.5000 0.7984 0.4032
Cu 0.5000 0.2016 0.5968
Cu 0.6947 0.5746 0.0000
Cu 0.1818 0.6484 0.2498
Cu 0.1818 0.8983 0.7502
Ge 0.5000 0.0000 0.0000

SG   C2/m (12)

---

Record 2
DFT (PBE) results for a relaxed Zn2CuGe2 crystal.

a b c (Å): 6.5986 6.5986 3.8935
angles (deg): 90.00 90.00 90.00
Fractional positions:
Ge 0.1668 0.6668 0.5000
Ge 0.6668 0.8332 0.5000
Ge 0.8332 0.3332 0.5000
Ge 0.3332 0.1668 0.5000
Zn 0.3583 0.8583 0.0000
Zn 0.8583 0.6417 0.0000
Zn 0.6417 0.1417 0.0000
Zn 0.1417 0.3583 0.0000
Cu 0.0000 0.0000 0.0000
Cu 0.5000 0.5000 0.0000

SG   P4/mbm (127)

---

Record 3
DFT (PBE) results for a relaxed ZnCu6Ge2 crystal.

a b c (Å): 3.7818 4.5366 8.0352
angles (deg): 72.35 76.39 65.37
Fractional positions:
Zn 0.0000 0.5000 0.5000
Cu 0.6648 0.7236 0.9467
Cu 0.3352 0.2764 0.0533
Cu 0.9979 0.8407 0.1634
Cu 0.3338 0.9430 0.3894
Cu 0.0021 0.1593 0.8366
Cu 0.6662 0.0570 0.6106
Ge 0.3283 0.6081 0.7353
Ge 0.6717 0.3919 0.2647

SG   C2/m (12)

---

Record 4
DFT (PBE) results for a relaxed ZnCu4Ge crystal.

a b c (Å): 4.0723 6.4054 7.0882
angles (deg): 101.48 90.00 108.53
Fractional positions:
Zn 0.2500 0.0000 0.2500
Zn 0.7500 0.0000 0.7500
Cu 0.9145 0.3290 0.1409
Cu 0.5855 0.6710 0.3591
Cu 0.0855 0.6710 0.8591
Cu 0.4145 0.3290 0.6409
Cu 0.2001 0.9002 0.5649
Cu 0.2999 0.0998 0.9351
Cu 0.7999 0.0998 0.4351
Cu 0.7001 0.9002 0.0649
Ge 0.5000 0.5000 0.0000
Ge 0.0000 0.5000 0.5000

SG   C2/m (12)

---

no.,total DFT energy (no corrections) (eV for the cell shown),energy of formation from the pure elements (kcal/mol of atoms)
1,-39.12,1.71
2,-29.29,5.70
3,-34.87,0.55
4,-43.55,1.92